BaCaCr after structural relaxation. Source: the Alexandria database, functional GGA-PBE.

Computed properties:
- E above lowest polymorph: 0.7756 eV/atom

abc: 5.7073 5.7073 5.7073
angles: 60.00 60.00 60.00
With the nearest neighbours (Å) after each atom.
Positions (direct):
Ba 0.7500 0.7500 0.7500  4 Cr 3.50, 4 Ca 3.50
Cr 0.5000 0.5000 0.5000  4 Ba 3.50
Ca 0.0000 0.0000 0.0000  4 Ba 3.50

=====

PmThCuAu after structural relaxation. Source: the Alexandria database, functional GGA-PBE.

Computed properties:
- E above lowest polymorph: 0.0000 eV/atom

abc: 3.8884 4.5447 5.9436
angles: 90.00 109.09 90.00
With the nearest neighbours (Å) after each atom.
Positions (direct):
Pm 0.1460 0.0000 0.2920  3 Cu 3.08-3.20, 4 Au 3.10
Th 0.8591 0.5000 0.7182  4 Cu 3.07, 3 Au 3.11-3.19
Cu 0.4199 0.0000 0.8397  2 Au 2.86, 4 Th 3.07, 3 Pm 3.08-3.20
Au 0.5750 0.5000 0.1501  2 Cu 2.86, 4 Pm 3.10, 3 Th 3.11-3.19

=====

AlNi2HW after structural relaxation. Source: the Alexandria database, functional GGA-PBE.

Computed properties:
- Total DFT energy (no corrections): -4.5433 eV per atom

abc: 4.5259 5.1051 4.5259
angles: 90.00 90.00 90.00
With the nearest neighbours (Å) after each atom.
Positions (direct):
Ni 0.0000 0.0000 0.5000  2 W 2.26
Al 0.0000 0.5000 0.0000  2 W 2.55
H 0.5000 0.5000 0.5000  4 Al 3.20, 8 Ni 3.41
W 0.0000 0.0000 0.0000  4 Ni 2.26
Ni 0.5000 0.0000 0.0000  2 W 2.26